Entry 1
# ZnC

Crystalline ZnC at its relaxed geometry (GGA-PBEsol, Alexandria via LeMat-Bulk).

CIF file:
```
data_ZnC
_cell_length_a 4.1267
_cell_length_b 4.1267
_cell_length_c 4.1267
_cell_angle_alpha 90.00
_cell_angle_beta 90.00
_cell_angle_gamma 90.00
_space_group_name_H-M_alt 'P 1'
_space_group_IT_number 1
loop_
_space_group_symop_operation_xyz
'x,y,z'
loop_
_atom_site_label
_atom_site_fract_x
_atom_site_fract_y
_atom_site_fract_z
Zn1 0.0000 0.0000 0.5000
Zn2 0.0000 0.5000 0.0000
Zn3 0.5000 0.0000 0.0000
C1 0.0000 0.5000 0.5000
C2 0.5000 0.0000 0.5000
C3 0.5000 0.5000 0.0000
```

## Properties
As for the symmetry: Pm-3m. The calculation puts the density of states at the Fermi level at 0.46 states/eV per atom. Its total magnetization is 0.00 Bohr magnetons per cell.



Entry 2
# ZnC

Crystalline ZnC at its relaxed geometry (GGA-PBEsol, Alexandria via LeMat-Bulk).

CIF file:
```
data_ZnC
_cell_length_a 4.9601
_cell_length_b 4.9601
_cell_length_c 3.2775
_cell_angle_alpha 90.00
_cell_angle_beta 90.00
_cell_angle_gamma 148.43
_space_group_name_H-M_alt 'P 1'
_space_group_IT_number 1
loop_
_space_group_symop_operation_xyz
'x,y,z'
loop_
_atom_site_label
_atom_site_fract_x
_atom_site_fract_y
_atom_site_fract_z
Zn1 0.1294 0.8706 0.7500
Zn2 0.8706 0.1294 0.2500
C1 0.3669 0.6331 0.7500
C2 0.6331 0.3669 0.2500
```

## Properties
As for the symmetry: Cmcm. The calculation puts the density of states at the Fermi level at 0.47 states/eV per atom. Its total magnetization is 0.00 Bohr magnetons per cell.



Relative calculated energies, zero for the most stable structure, unit kJ/mol of atoms: entry 1 8.5; entry 2 0.0.



Entry 1
# ZnC

Crystalline ZnC at its relaxed geometry (GGA-PBEsol, Alexandria via LeMat-Bulk).

CIF file:
```
data_ZnC
_cell_length_a 4.8488
_cell_length_b 2.6789
_cell_length_c 3.2882
_cell_angle_alpha 90.00
_cell_angle_beta 90.00
_cell_angle_gamma 90.00
_space_group_name_H-M_alt 'P 1'
_space_group_IT_number 1
loop_
_space_group_symop_operation_xyz
'x,y,z'
loop_
_atom_site_label
_atom_site_fract_x
_atom_site_fract_y
_atom_site_fract_z
Zn1 0.2500 0.0000 0.1668
Zn2 0.7500 0.0000 0.8332
C1 0.2500 0.5000 0.6533
C2 0.7500 0.5000 0.3467
```

## Properties
As for the symmetry: Pmma. The calculation puts the density of states at the Fermi level at 0.37 states/eV per atom. Its total magnetization is 0.00 Bohr magnetons per cell.



Entry 2
# ZnC

Crystalline ZnC at its relaxed geometry (GGA-PBEsol, Alexandria via LeMat-Bulk).

CIF file:
```
data_ZnC
_cell_length_a 3.3526
_cell_length_b 3.3526
_cell_length_c 4.1757
_cell_angle_alpha 90.00
_cell_angle_beta 90.00
_cell_angle_gamma 120.00
_space_group_name_H-M_alt 'P 1'
_space_group_IT_number 1
loop_
_space_group_symop_operation_xyz
'x,y,z'
loop_
_atom_site_label
_atom_site_fract_x
_atom_site_fract_y
_atom_site_fract_z
Zn1 0.3333 0.6667 0.2500
Zn2 0.6667 0.3333 0.7500
C1 0.0000 0.0000 0.0000
C2 0.0000 0.0000 0.5000
```

## Properties
As for the symmetry: P6_3/mmc. The calculation puts the density of states at the Fermi level at 0.25 states/eV per atom. Its total magnetization is 0.00 Bohr magnetons per cell.



Entry 3
# ZnC

Crystalline ZnC at its relaxed geometry (GGA-PBEsol, Alexandria via LeMat-Bulk).

CIF file:
```
data_ZnC
_cell_length_a 2.4821
_cell_length_b 2.4821
_cell_length_c 9.9573
_cell_angle_alpha 90.00
_cell_angle_beta 90.00
_cell_angle_gamma 120.00
_space_group_name_H-M_alt 'P 1'
_space_group_IT_number 1
loop_
_space_group_symop_operation_xyz
'x,y,z'
loop_
_atom_site_label
_atom_site_fract_x
_atom_site_fract_y
_atom_site_fract_z
Zn1 0.3333 0.6667 0.1298
Zn2 0.6667 0.3333 0.8702
C1 0.3333 0.6667 0.5000
C2 0.6667 0.3333 0.5000
```

## Properties
As for the symmetry: P-3m1. The calculation puts the density of states at the Fermi level at 0.17 states/eV per atom. Its total magnetization is 0.00 Bohr magnetons per cell.



Entry 4
# ZnC

Crystalline ZnC at its relaxed geometry (GGA-PBEsol, Alexandria via LeMat-Bulk).

CIF file:
```
data_ZnC
_cell_length_a 3.0665
_cell_length_b 3.0665
_cell_length_c 3.0665
_cell_angle_alpha 60.00
_cell_angle_beta 60.00
_cell_angle_gamma 60.00
_space_group_name_H-M_alt 'P 1'
_space_group_IT_number 1
loop_
_space_group_symop_operation_xyz
'x,y,z'
loop_
_atom_site_label
_atom_site_fract_x
_atom_site_fract_y
_atom_site_fract_z
Zn1 0.0000 0.0000 0.0000
C1 0.5000 0.5000 0.5000
```

## Properties
As for the symmetry: Fm-3m. The calculation puts the density of states at the Fermi level at 0.44 states/eV per atom. Its total magnetization is 0.00 Bohr magnetons per cell.



Relative calculated energies, zero for the most stable structure, unit kJ/mol of atoms: entry 1 163.0; entry 2 128.3; entry 3 0.0; entry 4 146.3.



Entry 1
# Zn2C

Crystalline Zn2C at its relaxed geometry (GGA-PBEsol, Alexandria via LeMat-Bulk).

CIF file:
```
data_Zn2C
_cell_length_a 3.6332
_cell_length_b 3.6332
_cell_length_c 3.6332
_cell_angle_alpha 60.00
_cell_angle_beta 60.00
_cell_angle_gamma 60.00
_space_group_name_H-M_alt 'P 1'
_space_group_IT_number 1
loop_
_space_group_symop_operation_xyz
'x,y,z'
loop_
_atom_site_label
_atom_site_fract_x
_atom_site_fract_y
_atom_site_fract_z
Zn1 0.2500 0.2500 0.2500
Zn2 0.7500 0.7500 0.7500
C1 0.0000 0.0000 0.0000
```

## Properties
As for the symmetry: Fm-3m. The calculation puts the density of states at the Fermi level at 0.02 states/eV per atom. Its total magnetization is 0.00 Bohr magnetons per cell.



Entry 2
# Zn2C

Crystalline Zn2C at its relaxed geometry (GGA-PBEsol, Alexandria via LeMat-Bulk).

CIF file:
```
data_Zn2C
_cell_length_a 4.7410
_cell_length_b 4.7410
_cell_length_c 3.2687
_cell_angle_alpha 90.00
_cell_angle_beta 90.00
_cell_angle_gamma 90.00
_space_group_name_H-M_alt 'P 1'
_space_group_IT_number 1
loop_
_space_group_symop_operation_xyz
'x,y,z'
loop_
_atom_site_label
_atom_site_fract_x
_atom_site_fract_y
_atom_site_fract_z
Zn1 0.2003 0.2003 0.0000
Zn2 0.2997 0.7003 0.5000
Zn3 0.7003 0.2997 0.5000
Zn4 0.7997 0.7997 0.0000
C1 0.0000 0.0000 0.5000
C2 0.5000 0.5000 0.0000
```

## Properties
As for the symmetry: P4_2/mnm. The calculation puts the density of states at the Fermi level at 0.08 states/eV per atom. Its total magnetization is 0.00 Bohr magnetons per cell.



Relative calculated energies, zero for the most stable structure, unit kJ/mol of atoms: entry 1 4.1; entry 2 0.0.



Entry 1
# ZnC2

Crystalline ZnC2 at its relaxed geometry (GGA-PBEsol, Alexandria via LeMat-Bulk).

CIF file:
```
data_ZnC2
_cell_length_a 2.9124
_cell_length_b 2.9124
_cell_length_c 7.1268
_cell_angle_alpha 90.00
_cell_angle_beta 90.00
_cell_angle_gamma 90.00
_space_group_name_H-M_alt 'P 1'
_space_group_IT_number 1
loop_
_space_group_symop_operation_xyz
'x,y,z'
loop_
_atom_site_label
_atom_site_fract_x
_atom_site_fract_y
_atom_site_fract_z
Zn1 0.2500 0.2500 0.1091
Zn2 0.7500 0.7500 0.8909
C1 0.2500 0.2500 0.3919
C2 0.2500 0.7500 0.5000
C3 0.7500 0.2500 0.5000
C4 0.7500 0.7500 0.6081
```

## Properties
As for the symmetry: P4/nmm. The calculation puts the density of states at the Fermi level at 0.20 states/eV per atom. Its total magnetization is 0.00 Bohr magnetons per cell.



Entry 2
# ZnC2

Crystalline ZnC2 at its relaxed geometry (GGA-PBEsol, Alexandria via LeMat-Bulk).

CIF file:
```
data_ZnC2
_cell_length_a 3.1429
_cell_length_b 3.1429
_cell_length_c 3.8261
_cell_angle_alpha 90.00
_cell_angle_beta 90.00
_cell_angle_gamma 120.00
_space_group_name_H-M_alt 'P 1'
_space_group_IT_number 1
loop_
_space_group_symop_operation_xyz
'x,y,z'
loop_
_atom_site_label
_atom_site_fract_x
_atom_site_fract_y
_atom_site_fract_z
Zn1 0.0000 0.0000 0.0000
C1 0.3333 0.6667 0.3330
C2 0.3333 0.6667 0.6670
```

## Properties
As for the symmetry: P-6m2. The calculation puts the density of states at the Fermi level at 0.22 states/eV per atom. Its total magnetization is 0.00 Bohr magnetons per cell.



Relative calculated energies, zero for the most stable structure, unit kJ/mol of atoms: entry 1 0.0; entry 2 11.8.



Entry 1
# ZnC2

Crystalline ZnC2 at its relaxed geometry (GGA-PBEsol, Alexandria via LeMat-Bulk).

CIF file:
```
data_ZnC2
_cell_length_a 4.2336
_cell_length_b 4.2336
_cell_length_c 4.2336
_cell_angle_alpha 60.00
_cell_angle_beta 60.00
_cell_angle_gamma 60.00
_space_group_name_H-M_alt 'P 1'
_space_group_IT_number 1
loop_
_space_group_symop_operation_xyz
'x,y,z'
loop_
_atom_site_label
_atom_site_fract_x
_atom_site_fract_y
_atom_site_fract_z
Zn1 0.1250 0.1250 0.1250
Zn2 0.8750 0.8750 0.8750
C1 0.0000 0.5000 0.5000
C2 0.5000 0.0000 0.5000
C3 0.5000 0.5000 0.0000
C4 0.5000 0.5000 0.5000
```

## Properties
As for the symmetry: Fd-3m. The calculation puts the density of states at the Fermi level at 0.30 states/eV per atom. Its total magnetization is 0.00 Bohr magnetons per cell.



Entry 2
# ZnC2

Crystalline ZnC2 at its relaxed geometry (GGA-PBEsol, Alexandria via LeMat-Bulk).

CIF file:
```
data_ZnC2
_cell_length_a 3.7878
_cell_length_b 3.7878
_cell_length_c 3.7878
_cell_angle_alpha 116.25
_cell_angle_beta 116.25
_cell_angle_gamma 96.62
_space_group_name_H-M_alt 'P 1'
_space_group_IT_number 1
loop_
_space_group_symop_operation_xyz
'x,y,z'
loop_
_atom_site_label
_atom_site_fract_x
_atom_site_fract_y
_atom_site_fract_z
Zn1 0.0000 0.0000 0.0000
C1 0.3764 0.3764 0.0000
C2 0.6236 0.6236 0.0000
```

## Properties
As for the symmetry: I4/mmm. The calculation puts the density of states at the Fermi level at 0.00 states/eV per atom. Its total magnetization is 0.00 Bohr magnetons per cell.



Relative calculated energies, zero for the most stable structure, unit kJ/mol of atoms: entry 1 168.0; entry 2 0.0.



Entry 1
# Ca5Cd

Crystalline Ca5Cd at its relaxed geometry (GGA-PBEsol, Alexandria via LeMat-Bulk).

CIF file:
```
data_Ca5Cd
_cell_length_a 6.8744
_cell_length_b 6.8744
_cell_length_c 8.7463
_cell_angle_alpha 108.97
_cell_angle_beta 108.97
_cell_angle_gamma 33.56
_space_group_name_H-M_alt 'P 1'
_space_group_IT_number 1
loop_
_space_group_symop_operation_xyz
'x,y,z'
loop_
_atom_site_label
_atom_site_fract_x
_atom_site_fract_y
_atom_site_fract_z
Ca1 0.0000 0.0000 0.0000
Ca2 0.3333 0.3333 0.2029
Ca3 0.3615 0.3615 0.6393
Ca4 0.6385 0.6385 0.3607
Ca5 0.6667 0.6667 0.7971
Cd1 0.0000 0.0000 0.5000
```

## Properties
As for the symmetry: C2/m. The calculation puts the density of states at the Fermi level at 1.04 states/eV per atom. Its total magnetization is 0.00 Bohr magnetons per cell.



Entry 2
# Ca5Cd

Crystalline Ca5Cd at its relaxed geometry (GGA-PBEsol, Alexandria via LeMat-Bulk).

CIF file:
```
data_Ca5Cd
_cell_length_a 7.9120
_cell_length_b 7.9120
_cell_length_c 5.3774
_cell_angle_alpha 90.00
_cell_angle_beta 90.00
_cell_angle_gamma 141.68
_space_group_name_H-M_alt 'P 1'
_space_group_IT_number 1
loop_
_space_group_symop_operation_xyz
'x,y,z'
loop_
_atom_site_label
_atom_site_fract_x
_atom_site_fract_y
_atom_site_fract_z
Ca1 0.0000 0.0000 0.0000
Ca2 0.1522 0.8478 0.5000
Ca3 0.3405 0.6595 0.0000
Ca4 0.6595 0.3405 0.0000
Ca5 0.8478 0.1522 0.5000
Cd1 0.5000 0.5000 0.5000
```

## Properties
As for the symmetry: Cmmm. The calculation puts the density of states at the Fermi level at 1.36 states/eV per atom. Its total magnetization is 0.00 Bohr magnetons per cell.



Relative calculated energies, zero for the most stable structure, unit kJ/mol of atoms: entry 1 0.0; entry 2 3.3.



Entry 1
# CaCdN2F

Crystalline CaCdN2F at its relaxed geometry (GGA-PBEsol, Alexandria via LeMat-Bulk).

CIF file:
```
data_CaCdN2F
_cell_length_a 4.1133
_cell_length_b 4.1133
_cell_length_c 4.4383
_cell_angle_alpha 90.00
_cell_angle_beta 90.00
_cell_angle_gamma 90.00
_space_group_name_H-M_alt 'P 1'
_space_group_IT_number 1
loop_
_space_group_symop_operation_xyz
'x,y,z'
loop_
_atom_site_label
_atom_site_fract_x
_atom_site_fract_y
_atom_site_fract_z
Ca1 0.0000 0.0000 0.0000
Cd1 0.5000 0.5000 0.5000
N1 0.0000 0.5000 0.5000
N2 0.5000 0.0000 0.5000
F1 0.5000 0.5000 0.0000
```

## Properties
As for the symmetry: P4/mmm. The calculation puts the density of states at the Fermi level at 0.80 states/eV per atom. Its total magnetization is 1.64 Bohr magnetons per cell.



Entry 2
# CaCdN2F

Crystalline CaCdN2F at its relaxed geometry (GGA-PBEsol, Alexandria via LeMat-Bulk).

CIF file:
```
data_CaCdN2F
_cell_length_a 4.5724
_cell_length_b 4.5724
_cell_length_c 4.1273
_cell_angle_alpha 90.00
_cell_angle_beta 90.00
_cell_angle_gamma 90.00
_space_group_name_H-M_alt 'P 1'
_space_group_IT_number 1
loop_
_space_group_symop_operation_xyz
'x,y,z'
loop_
_atom_site_label
_atom_site_fract_x
_atom_site_fract_y
_atom_site_fract_z
Ca1 0.0000 0.0000 0.0000
Cd1 0.5000 0.5000 0.5000
N1 0.0000 0.5000 0.0000
N2 0.5000 0.0000 0.0000
F1 0.0000 0.0000 0.5000
```

## Properties
As for the symmetry: P4/mmm. The calculation puts the density of states at the Fermi level at 0.59 states/eV per atom. Its total magnetization is 3.07 Bohr magnetons per cell.



Relative calculated energies, zero for the most stable structure, unit kJ/mol of atoms: entry 1 0.0; entry 2 31.5.